Model w:
# B5Mo2

A relaxed B5Mo2 crystal (PBE-GGA, Alexandria via LeMat-Bulk).

Structure (CIF):
```
data_B5Mo2
_chemical_formula_sum 'B5 Mo2'
_space_group_name_H-M_alt 'P 1'
_space_group_IT_number 1
_space_group_name_Hall 'P 1'
_cell_length_a 7.418
_cell_length_b 7.418
_cell_length_c 7.418
_cell_angle_alpha 23.98
_cell_angle_beta 23.98
_cell_angle_gamma 23.98
loop_
_atom_site_label
_atom_site_fract_x
_atom_site_fract_y
_atom_site_fract_z
_atom_site_occupancy
B1 0.331 0.331 0.331 1
B2 0.669 0.669 0.669 1
B3 0.184 0.184 0.184 1
B4 0.816 0.816 0.816 1
B5 0.500 0.500 0.500 1
Mo1 0.075 0.075 0.075 1
Mo2 0.925 0.925 0.925 1
```

Computed properties:
Its magnetization is 0.0 μB/f.u. Its space group is No. 166. Its volume is 8.47 Å³/atom.



Model x:
# B5Mo2

A relaxed B5Mo2 crystal (PBE-GGA, Alexandria via LeMat-Bulk).

Structure (CIF):
```
data_B5Mo2
_chemical_formula_sum 'B10 Mo4'
_space_group_name_H-M_alt 'P 1'
_space_group_IT_number 1
_space_group_name_Hall 'P 1'
_cell_length_a 3.880
_cell_length_b 3.880
_cell_length_c 10.410
_cell_angle_alpha 90.00
_cell_angle_beta 90.00
_cell_angle_gamma 120.00
loop_
_atom_site_label
_atom_site_fract_x
_atom_site_fract_y
_atom_site_fract_z
_atom_site_occupancy
B1 0.667 0.333 0.839 1
B2 0.333 0.667 0.161 1
B3 0.333 0.667 0.339 1
B4 0.667 0.333 0.661 1
B5 0.500 0.000 0.500 1
B6 0.500 0.500 0.500 1
B7 0.000 0.500 0.500 1
B8 0.500 0.000 0.000 1
B9 0.500 0.500 0.000 1
B10 0.000 0.500 0.000 1
Mo1 0.000 0.000 0.869 1
Mo2 0.000 0.000 0.131 1
Mo3 0.000 0.000 0.369 1
Mo4 0.000 0.000 0.631 1
```

Computed properties:
Its magnetization is 0.0 μB/f.u. Its space group is No. 194. Its volume is 9.69 Å³/atom.



Which is most stable, and by how much? model w, by 361 meV/atom.



Model w:
# B3Mo2

A relaxed B3Mo2 crystal (PBE-GGA, Alexandria via LeMat-Bulk).

Structure (CIF):
```
data_B3Mo2
_chemical_formula_sum 'B6 Mo4'
_space_group_name_H-M_alt 'P 1'
_space_group_IT_number 1
_space_group_name_Hall 'P 1'
_cell_length_a 4.737
_cell_length_b 4.380
_cell_length_c 5.460
_cell_angle_alpha 90.00
_cell_angle_beta 90.00
_cell_angle_gamma 122.73
loop_
_atom_site_label
_atom_site_fract_x
_atom_site_fract_y
_atom_site_fract_z
_atom_site_occupancy
B1 0.500 0.000 0.500 1
B2 0.000 0.000 0.000 1
B3 0.669 0.837 0.750 1
B4 0.831 0.163 0.250 1
B5 0.169 0.837 0.750 1
B6 0.331 0.163 0.250 1
Mo1 0.172 0.345 0.603 1
Mo2 0.828 0.655 0.397 1
Mo3 0.328 0.655 0.103 1
Mo4 0.672 0.345 0.897 1
```

Computed properties:
Its magnetization is 0.0 μB/f.u. Its space group is No. 64. Its volume is 9.53 Å³/atom.



Model x:
# B3Mo2

A relaxed B3Mo2 crystal (PBE-GGA, Alexandria via LeMat-Bulk).

Structure (CIF):
```
data_B3Mo2
_chemical_formula_sum 'B3 Mo2'
_space_group_name_H-M_alt 'P 1'
_space_group_IT_number 1
_space_group_name_Hall 'P 1'
_cell_length_a 3.046
_cell_length_b 3.102
_cell_length_c 5.631
_cell_angle_alpha 105.99
_cell_angle_beta 105.69
_cell_angle_gamma 90.00
loop_
_atom_site_label
_atom_site_fract_x
_atom_site_fract_y
_atom_site_fract_z
_atom_site_occupancy
B1 0.964 0.464 0.929 1
B2 0.201 0.201 0.403 1
B3 0.793 0.293 0.585 1
Mo1 0.626 0.626 0.252 1
Mo2 0.380 0.880 0.760 1
```

Computed properties:
Its magnetization is 0.0 μB/f.u. Its space group is No. 44. Its volume is 9.82 Å³/atom.



Which is most stable, and by how much? model x, by 254 meV/atom.



Model w:
# BMo2N

A relaxed BMo2N crystal (PBE-GGA, Alexandria via LeMat-Bulk).

Structure (CIF):
```
data_BMo2N
_chemical_formula_sum 'B1 Mo2 N1'
_space_group_name_H-M_alt 'P 1'
_space_group_IT_number 1
_space_group_name_Hall 'P 1'
_cell_length_a 3.889
_cell_length_b 3.889
_cell_length_c 3.889
_cell_angle_alpha 60.00
_cell_angle_beta 60.00
_cell_angle_gamma 60.00
loop_
_atom_site_label
_atom_site_fract_x
_atom_site_fract_y
_atom_site_fract_z
_atom_site_occupancy
Mo1 0.250 0.250 0.250 1
Mo2 0.750 0.750 0.750 1
B1 0.000 0.000 0.000 1
N1 0.500 0.500 0.500 1
```

Computed properties:
Its magnetization is 0.0 μB/f.u. Its space group is No. 225. Its volume is 10.40 Å³/atom.



Model x:
# BMo2N

A relaxed BMo2N crystal (PBE-GGA, Alexandria via LeMat-Bulk).

Structure (CIF):
```
data_BMo2N
_chemical_formula_sum 'B2 Mo4 N2'
_space_group_name_H-M_alt 'P 1'
_space_group_IT_number 1
_space_group_name_Hall 'P 1'
_cell_length_a 4.686
_cell_length_b 4.686
_cell_length_c 5.855
_cell_angle_alpha 66.41
_cell_angle_beta 66.41
_cell_angle_gamma 90.00
loop_
_atom_site_label
_atom_site_fract_x
_atom_site_fract_y
_atom_site_fract_z
_atom_site_occupancy
Mo1 0.642 0.125 0.250 1
Mo2 0.108 0.625 0.250 1
Mo3 0.375 0.358 0.750 1
Mo4 0.875 0.892 0.750 1
B1 0.500 0.500 0.000 1
B2 0.250 0.750 0.500 1
N1 0.000 0.000 0.000 1
N2 0.750 0.250 0.500 1
```

Computed properties:
Its magnetization is 0.0 μB/f.u. Its space group is No. 122. Its volume is 13.25 Å³/atom.



Which is most stable, and by how much? model x, by 123 meV/atom.



Model w:
# BMoSN2

A relaxed BMoSN2 crystal (PBE-GGA, Alexandria via LeMat-Bulk).

Structure (CIF):
```
data_BMoSN2
_chemical_formula_sum 'B1 Mo1 S1 N2'
_space_group_name_H-M_alt 'P 1'
_space_group_IT_number 1
_space_group_name_Hall 'P 1'
_cell_length_a 3.843
_cell_length_b 3.843
_cell_length_c 5.037
_cell_angle_alpha 90.00
_cell_angle_beta 90.00
_cell_angle_gamma 90.00
loop_
_atom_site_label
_atom_site_fract_x
_atom_site_fract_y
_atom_site_fract_z
_atom_site_occupancy
Mo1 0.000 0.000 0.000 1
B1 0.500 0.500 0.500 1
S1 0.000 0.000 0.500 1
N1 0.000 0.500 0.000 1
N2 0.500 0.000 0.000 1
```

Computed properties:
Its magnetization is 0.0 μB/f.u. Its space group is No. 123. Its volume is 14.88 Å³/atom.



Model x:
# BMoSN2

A relaxed BMoSN2 crystal (PBE-GGA, Alexandria via LeMat-Bulk).

Structure (CIF):
```
data_BMoSN2
_chemical_formula_sum 'B1 Mo1 S1 N2'
_space_group_name_H-M_alt 'P 1'
_space_group_IT_number 1
_space_group_name_Hall 'P 1'
_cell_length_a 3.453
_cell_length_b 3.453
_cell_length_c 4.127
_cell_angle_alpha 90.00
_cell_angle_beta 90.00
_cell_angle_gamma 90.00
loop_
_atom_site_label
_atom_site_fract_x
_atom_site_fract_y
_atom_site_fract_z
_atom_site_occupancy
Mo1 0.500 0.500 0.500 1
B1 0.000 0.000 0.000 1
S1 0.000 0.000 0.500 1
N1 0.000 0.500 0.000 1
N2 0.500 0.000 0.000 1
```

Computed properties:
Its magnetization is 0.0 μB/f.u. Its space group is No. 123. Its volume is 9.84 Å³/atom.



Which is most stable, and by how much? model w, by 21 meV/atom.



Model w:
# NaBMo3

A relaxed NaBMo3 crystal (PBE-GGA, Alexandria via LeMat-Bulk).

Structure (CIF):
```
data_NaBMo3
_chemical_formula_sum 'Na1 B1 Mo3'
_space_group_name_H-M_alt 'P 1'
_space_group_IT_number 1
_space_group_name_Hall 'P 1'
_cell_length_a 4.444
_cell_length_b 4.444
_cell_length_c 4.444
_cell_angle_alpha 90.00
_cell_angle_beta 90.00
_cell_angle_gamma 90.00
loop_
_atom_site_label
_atom_site_fract_x
_atom_site_fract_y
_atom_site_fract_z
_atom_site_occupancy
Na1 0.000 0.000 0.000 1
Mo1 0.000 0.500 0.000 1
Mo2 0.000 0.000 0.500 1
Mo3 0.500 0.000 0.000 1
B1 0.500 0.500 0.500 1
```

Computed properties:
Its magnetization is 1.9 μB/f.u. Its space group is No. 221. Its volume is 17.55 Å³/atom.



Model x:
# NaBMo3

A relaxed NaBMo3 crystal (PBE-GGA, Alexandria via LeMat-Bulk).

Structure (CIF):
```
data_NaBMo3
_chemical_formula_sum 'Na1 B1 Mo3'
_space_group_name_H-M_alt 'P 1'
_space_group_IT_number 1
_space_group_name_Hall 'P 1'
_cell_length_a 4.284
_cell_length_b 4.284
_cell_length_c 4.284
_cell_angle_alpha 90.00
_cell_angle_beta 90.00
_cell_angle_gamma 90.00
loop_
_atom_site_label
_atom_site_fract_x
_atom_site_fract_y
_atom_site_fract_z
_atom_site_occupancy
Na1 0.500 0.500 0.500 1
Mo1 0.000 0.500 0.000 1
Mo2 0.000 0.000 0.500 1
Mo3 0.500 0.000 0.000 1
B1 0.000 0.000 0.000 1
```

Computed properties:
Its magnetization is 0.0 μB/f.u. Its space group is No. 221. Its volume is 15.73 Å³/atom.



Which is most stable, and by how much? model x, by 2600 meV/atom.



Model w:
# NaB3Mo

A relaxed NaB3Mo crystal (PBE-GGA, Alexandria via LeMat-Bulk).

Structure (CIF):
```
data_NaB3Mo
_chemical_formula_sum 'Na1 B3 Mo1'
_space_group_name_H-M_alt 'P 1'
_space_group_IT_number 1
_space_group_name_Hall 'P 1'
_cell_length_a 4.213
_cell_length_b 4.213
_cell_length_c 4.213
_cell_angle_alpha 90.00
_cell_angle_beta 90.00
_cell_angle_gamma 90.00
loop_
_atom_site_label
_atom_site_fract_x
_atom_site_fract_y
_atom_site_fract_z
_atom_site_occupancy
Na1 0.500 0.500 0.500 1
Mo1 0.000 0.000 0.000 1
B1 0.000 0.500 0.000 1
B2 0.000 0.000 0.500 1
B3 0.500 0.000 0.000 1
```

Computed properties:
Its magnetization is 0.0 μB/f.u. Its space group is No. 221. Its volume is 14.95 Å³/atom.



Model x:
# NaB3Mo

A relaxed NaB3Mo crystal (PBE-GGA, Alexandria via LeMat-Bulk).

Structure (CIF):
```
data_NaB3Mo
_chemical_formula_sum 'Na1 B3 Mo1'
_space_group_name_H-M_alt 'P 1'
_space_group_IT_number 1
_space_group_name_Hall 'P 1'
_cell_length_a 3.946
_cell_length_b 3.946
_cell_length_c 3.946
_cell_angle_alpha 90.00
_cell_angle_beta 90.00
_cell_angle_gamma 90.00
loop_
_atom_site_label
_atom_site_fract_x
_atom_site_fract_y
_atom_site_fract_z
_atom_site_occupancy
Na1 0.000 0.000 0.000 1
Mo1 0.500 0.500 0.500 1
B1 0.000 0.500 0.000 1
B2 0.000 0.000 0.500 1
B3 0.500 0.000 0.000 1
```

Computed properties:
Its magnetization is 0.0 μB/f.u. Its space group is No. 221. Its volume is 12.29 Å³/atom.



Which is most stable, and by how much? model w, by 1942 meV/atom.



Model w:
# NbBMo

A relaxed NbBMo crystal (PBE-GGA, Alexandria via LeMat-Bulk).

Structure (CIF):
```
data_NbBMo
_chemical_formula_sum 'Nb4 B4 Mo4'
_space_group_name_H-M_alt 'P 1'
_space_group_IT_number 1
_space_group_name_Hall 'P 1'
_cell_length_a 5.365
_cell_length_b 3.170
_cell_length_c 10.942
_cell_angle_alpha 90.00
_cell_angle_beta 115.95
_cell_angle_gamma 90.00
loop_
_atom_site_label
_atom_site_fract_x
_atom_site_fract_y
_atom_site_fract_z
_atom_site_occupancy
Mo1 0.301 0.000 0.626 1
Mo2 0.699 0.000 0.374 1
Mo3 0.301 0.500 0.126 1
Mo4 0.699 0.500 0.874 1
B1 0.743 0.000 0.749 1
B2 0.257 0.000 0.251 1
B3 0.743 0.500 0.249 1
B4 0.257 0.500 0.751 1
Nb1 0.799 0.000 0.112 1
Nb2 0.201 0.000 0.888 1
Nb3 0.799 0.500 0.612 1
Nb4 0.201 0.500 0.388 1
```

Computed properties:
Its magnetization is 0.0 μB/f.u. Its space group is No. 12. Its volume is 13.94 Å³/atom.



Model x:
# NbBMo

A relaxed NbBMo crystal (PBE-GGA, Alexandria via LeMat-Bulk).

Structure (CIF):
```
data_NbBMo
_chemical_formula_sum 'Nb4 B4 Mo4'
_space_group_name_H-M_alt 'P 1'
_space_group_IT_number 1
_space_group_name_Hall 'P 1'
_cell_length_a 5.642
_cell_length_b 4.898
_cell_length_c 7.969
_cell_angle_alpha 90.00
_cell_angle_beta 134.59
_cell_angle_gamma 90.00
loop_
_atom_site_label
_atom_site_fract_x
_atom_site_fract_y
_atom_site_fract_z
_atom_site_occupancy
Mo1 0.341 0.000 0.179 1
Mo2 0.659 0.000 0.821 1
Mo3 0.341 0.500 0.679 1
Mo4 0.659 0.500 0.321 1
B1 0.500 0.698 0.500 1
B2 0.500 0.302 0.500 1
B3 0.500 0.198 0.000 1
B4 0.500 0.802 0.000 1
Nb1 0.974 0.000 0.657 1
Nb2 0.026 0.000 0.343 1
Nb3 0.974 0.500 0.157 1
Nb4 0.026 0.500 0.843 1
```

Computed properties:
Its magnetization is 0.0 μB/f.u. Its space group is No. 12. Its volume is 13.07 Å³/atom.



Which is most stable, and by how much? model x, by 133 meV/atom.



Model w:
# NbBMo

A relaxed NbBMo crystal (PBE-GGA, Alexandria via LeMat-Bulk).

Structure (CIF):
```
data_NbBMo
_chemical_formula_sum 'Nb2 B2 Mo2'
_space_group_name_H-M_alt 'P 1'
_space_group_IT_number 1
_space_group_name_Hall 'P 1'
_cell_length_a 4.912
_cell_length_b 3.194
_cell_length_c 5.354
_cell_angle_alpha 90.00
_cell_angle_beta 95.35
_cell_angle_gamma 90.00
loop_
_atom_site_label
_atom_site_fract_x
_atom_site_fract_y
_atom_site_fract_z
_atom_site_occupancy
Mo1 0.358 0.000 0.799 1
Mo2 0.358 0.500 0.299 1
B1 0.606 0.000 0.487 1
B2 0.606 0.500 0.987 1
Nb1 0.885 0.000 0.177 1
Nb2 0.885 0.500 0.677 1
```

Computed properties:
Its magnetization is 0.0 μB/f.u. Its space group is No. 8. Its volume is 13.94 Å³/atom.



Model x:
# NbBMo

A relaxed NbBMo crystal (PBE-GGA, Alexandria via LeMat-Bulk).

Structure (CIF):
```
data_NbBMo
_chemical_formula_sum 'Nb4 B4 Mo4'
_space_group_name_H-M_alt 'P 1'
_space_group_IT_number 1
_space_group_name_Hall 'P 1'
_cell_length_a 4.541
_cell_length_b 6.290
_cell_length_c 5.947
_cell_angle_alpha 98.65
_cell_angle_beta 90.00
_cell_angle_gamma 90.00
loop_
_atom_site_label
_atom_site_fract_x
_atom_site_fract_y
_atom_site_fract_z
_atom_site_occupancy
Mo1 0.250 0.398 0.127 1
Mo2 0.750 0.102 0.873 1
Mo3 0.750 0.602 0.873 1
Mo4 0.250 0.898 0.127 1
B1 0.250 0.117 0.877 1
B2 0.750 0.383 0.123 1
B3 0.750 0.883 0.123 1
B4 0.250 0.617 0.877 1
Nb1 0.250 0.832 0.606 1
Nb2 0.750 0.668 0.394 1
Nb3 0.750 0.168 0.394 1
Nb4 0.250 0.332 0.606 1
```

Computed properties:
Its magnetization is 0.0 μB/f.u. Its space group is No. 11. Its volume is 13.99 Å³/atom.



Model y:
# NbBMo

A relaxed NbBMo crystal (PBE-GGA, Alexandria via LeMat-Bulk).

Structure (CIF):
```
data_NbBMo
_chemical_formula_sum 'Nb4 B4 Mo4'
_space_group_name_H-M_alt 'P 1'
_space_group_IT_number 1
_space_group_name_Hall 'P 1'
_cell_length_a 5.363
_cell_length_b 3.284
_cell_length_c 10.773
_cell_angle_alpha 90.00
_cell_angle_beta 118.21
_cell_angle_gamma 90.00
loop_
_atom_site_label
_atom_site_fract_x
_atom_site_fract_y
_atom_site_fract_z
_atom_site_occupancy
Mo1 0.734 0.000 0.443 1
Mo2 0.734 0.500 0.943 1
Mo3 0.107 0.000 0.166 1
Mo4 0.107 0.500 0.666 1
B1 0.855 0.000 0.274 1
B2 0.855 0.500 0.774 1
B3 0.656 0.000 0.069 1
B4 0.656 0.500 0.569 1
Nb1 0.194 0.000 0.899 1
Nb2 0.194 0.500 0.399 1
Nb3 0.519 0.000 0.675 1
Nb4 0.519 0.500 0.175 1
```

Computed properties:
Its magnetization is 0.0 μB/f.u. Its space group is No. 8. Its volume is 13.93 Å³/atom.



Which is most stable, and by how much? model w, by 82 meV/atom.